Entry 1:
Zr4FeN3: relaxed, PBE-GGA.

Output
uncorrected energy	-9.638	eV/atom

Unit cell a=3.233 b=3.233 c=23.918 alpha=90.00 beta=90.00 gamma=120.00
Element x y z (fractional)
Fe 0.333 0.667 0.250
Fe 0.667 0.333 0.750
N 0.667 0.333 0.388
N 0.333 0.667 0.888
N 0.667 0.333 0.112
N 0.000 0.000 0.000
N 0.333 0.667 0.612
N 0.000 0.000 0.500
Zr 0.667 0.333 0.556
Zr 0.000 0.000 0.669
Zr 0.333 0.667 0.444
Zr 0.000 0.000 0.169
Zr 0.333 0.667 0.056
Zr 0.000 0.000 0.331
Zr 0.667 0.333 0.944
Zr 0.000 0.000 0.831

Entry 2:
YNiHgSb: relaxed, PBE-GGA.

Output
uncorrected energy	-4.350	eV/atom

Unit cell a=4.958 b=4.958 c=4.958 alpha=60.00 beta=60.00 gamma=60.00
Element x y z (fractional)
Sb 0.000 0.000 0.000
Hg 0.250 0.250 0.250
Ni 0.750 0.750 0.750
Y 0.500 0.500 0.500

Entry 3:
BaCd2AgAu: relaxed, PBE-GGA.

Output
uncorrected energy	-2.355	eV/atom

Unit cell a=7.162 b=7.162 c=7.162 alpha=142.69 beta=142.69 gamma=53.79
Element x y z (fractional)
Ba 0.995 0.995 0.000
Cd 0.250 0.750 0.500
Cd 0.750 0.250 0.500
Au 0.392 0.392 0.000
Ag 0.612 0.612 0.000

Entry 4:
AlCoCuSe4: relaxed, PBE-GGA.

Output
uncorrected energy	-4.533	eV/atom

Unit cell a=7.276 b=7.276 c=10.210 alpha=90.00 beta=90.00 gamma=90.00
Element x y z (fractional)
Se 0.980 0.262 0.750
Se 0.521 0.737 0.767
Se 0.263 0.479 0.483
Se 0.737 0.479 0.517
Se 0.020 0.738 0.250
Se 0.980 0.738 0.750
Se 0.479 0.263 0.267
Se 0.262 0.020 0.500
Se 0.479 0.737 0.233
Se 0.020 0.262 0.250
Se 0.521 0.263 0.733
Se 0.262 0.980 0.000
Se 0.737 0.521 0.983
Se 0.263 0.521 0.017
Se 0.738 0.980 0.000
Se 0.738 0.020 0.500
Al 0.000 0.247 0.500
Al 0.000 0.753 0.000
Al 0.247 0.000 0.250
Al 0.753 0.000 0.750
Co 0.251 0.500 0.250
Co 0.749 0.500 0.750
Co 0.500 0.251 0.500
Co 0.500 0.749 0.000
Cu 0.260 0.740 0.625
Cu 0.740 0.740 0.375
Cu 0.260 0.260 0.875
Cu 0.740 0.260 0.125

Entry 5:
BeNbBiMo: relaxed, PBE-GGA.

Output
offset from the most stable computed form	0.0791	eV/atom

Unit cell a=4.595 b=4.595 c=4.595 alpha=60.00 beta=60.00 gamma=60.00
Element x y z (fractional)
Nb 0.500 0.500 0.500
Mo 0.000 0.000 0.000
Bi 0.250 0.250 0.250
Be 0.750 0.750 0.750

Entry 6:
BePPtO: relaxed, PBE-GGA.

Output
offset from the most stable computed form	0.0595	eV/atom

Unit cell a=2.928 b=7.179 c=4.807 alpha=90.00 beta=90.00 gamma=90.00
Element x y z (fractional)
Pt 0.500 0.384 0.928
Pt 0.500 0.616 0.428
O 0.000 0.909 0.367
O 0.000 0.091 0.867
Be 0.000 0.075 0.555
Be 0.000 0.925 0.055
P 0.500 0.696 0.905
P 0.500 0.304 0.405

Entry 7:
SbAu15: relaxed, PBE-GGA.

Output
offset from the most stable computed form	0.0146	eV/atom

Unit cell a=5.016 b=35.639 c=5.017 alpha=90.00 beta=109.39 gamma=90.00
Element x y z (fractional)
Au 0.500 0.563 0.500
Au 0.500 0.395 0.500
Au 0.000 0.689 0.500
Au 0.000 0.395 0.000
Au 0.000 0.521 0.500
Au 0.500 0.353 0.000
Au 0.500 0.268 0.000
Au 0.500 0.605 0.000
Au 0.500 0.311 0.500
Au 0.000 0.437 0.500
Au 0.000 0.605 0.500
Au 0.500 0.479 0.500
Au 0.500 0.646 0.500
Au 0.000 0.563 0.000
Au 0.000 0.647 0.000
Au 0.500 0.521 0.000
Au 0.000 0.479 0.000
Au 0.500 0.815 0.500
Au 0.500 0.730 0.500
Au 0.000 0.311 0.000
Au 0.000 0.354 0.500
Au 0.000 0.732 0.000
Au 0.000 0.185 0.500
Au 0.000 0.776 0.500
Au 0.500 0.437 0.000
Au 0.500 0.776 0.000
Au 0.500 0.224 0.500
Au 0.500 0.689 0.000
Au 0.000 0.270 0.500
Au 0.000 0.224 0.000
Sb 0.000 0.817 0.000
Sb 0.500 0.183 0.000

Entry 8:
HfMgFeSi: relaxed, PBE-GGA.

Output
offset from the most stable computed form	0.0251	eV/atom

Unit cell a=4.468 b=4.468 c=4.468 alpha=60.00 beta=60.00 gamma=60.00
Element x y z (fractional)
Si 0.000 0.000 0.000
Hf 0.250 0.250 0.250
Mg 0.750 0.750 0.750
Fe 0.500 0.500 0.500